# PBE-GGA Tb4AgSe3, optimized geometry
data_Tb4AgSe3
_cell_length_a 8.4289
_cell_length_b 11.7098
_cell_length_c 4.0444
_cell_angle_alpha 90.00
_cell_angle_beta 90.00
_cell_angle_gamma 90.00
_space_group_name_H-M_alt 'C m m m'
_space_group_IT_number 65
_space_group_name_Hall '-C 2 2'
loop_
_atom_site_label
_atom_site_type_symbol
_atom_site_fract_x
_atom_site_fract_y
_atom_site_fract_z
Tb1 Tb 0.0000 0.2479 0.0000
Tb2 Tb 0.2474 0.0000 0.5000
Ag1 Ag 0.0000 0.5000 0.0000
Se1 Se 0.0000 0.0000 0.0000
Se2 Se 0.2500 0.2500 0.5000
# **Raw formation energy**: -1.38 eV/atom
# **Density**: 8.16 g/cm³
# **Crystal system**: orthorhombic

# PBE-GGA TcSnSbBrF, optimized geometry
data_TcSnSbBrF
_cell_length_a 4.1842
_cell_length_b 5.3204
_cell_length_c 5.8704
_cell_angle_alpha 102.00
_cell_angle_beta 97.67
_cell_angle_gamma 99.38
_space_group_name_H-M_alt 'P 1'
_space_group_IT_number 1
loop_
_space_group_symop_operation_xyz
'x,y,z'
loop_
_atom_site_label
_atom_site_type_symbol
_atom_site_fract_x
_atom_site_fract_y
_atom_site_fract_z
Tc1 Tc 0.0000 0.0000 0.0000
Sn1 Sn 0.9791 0.4848 0.9571
Sb1 Sb 0.5635 0.0815 0.2486
Br1 Br 0.4192 0.8601 0.6767
F1 F 0.7558 0.3831 0.5583
# **Raw formation energy**: -0.46 eV/atom
# **Density**: 5.85 g/cm³
# **Distance to the lowest polymorph of the same formula**: 0.127 eV/atom
# **Crystal system**: triclinic